# 1
Here is a relaxed SrReO3 crystal from Alexandria. Energies are from PBE.

Structure (POSCAR):
```
SrReO3
1.0
3.9992 0.0000 0.0000
0.0000 3.9992 0.0000
0.0000 0.0000 3.9992
Re O Sr
1 3 1
Direct
0.5000 0.5000 0.5000
0.5000 0.0000 0.5000
0.5000 0.5000 0.0000
0.0000 0.5000 0.5000
0.0000 0.0000 0.0000
```

Computed properties:
The space-group type is No. 221. As for the formation energy without anion corrections: -1.973 eV/atom. Its final energy is -7.774 eV/atom. The density of states at the Fermi level comes out at 0.684 states/eV/atom.



# 2
Here is a relaxed SrRe2O8 crystal from Alexandria. Energies are from PBE.

Structure (POSCAR):
```
SrRe2O8
1.0
-4.1267 -0.7864 -2.2793
-2.1091 -1.0124 4.1677
-1.4945 5.8889 0.6742
Sr Re O
1 2 8
Direct
0.5000 0.5000 0.5000
0.5000 0.0000 0.0000
0.0000 0.5000 0.0000
0.7507 0.7507 0.1867
0.7507 0.2493 0.8133
0.7507 0.7507 0.8133
0.7507 0.2493 0.1867
0.2493 0.7507 0.1867
0.2493 0.7507 0.8133
0.2493 0.2493 0.1867
0.2493 0.2493 0.8133
```

Computed properties:
The space-group type is No. 123. As for the formation energy without anion corrections: -1.178 eV/atom. Its final energy is -7.200 eV/atom. The density of states at the Fermi level comes out at 0.454 states/eV/atom.



# 3
Here is a relaxed Sr3ReO6 crystal from Alexandria. Energies are from PBE.

Structure (POSCAR):
```
Sr3ReO6
1.0
-0.2478 4.9806 -3.0963
-5.1238 -1.9414 -2.7127
-4.5834 3.5322 6.1293
Sr Re O
6 2 12
Direct
0.5146 0.9481 0.7538
0.5000 0.5000 0.0000
0.4854 0.0519 0.2462
0.0146 0.5519 0.2538
0.0000 0.0000 0.5000
0.9854 0.4481 0.7462
0.5000 0.5000 0.5000
0.0000 0.0000 0.0000
0.7309 0.1751 0.9549
0.6677 0.2365 0.5631
0.6006 0.4562 0.2821
0.3994 0.5438 0.7179
0.3323 0.7635 0.4369
0.2691 0.8249 0.0451
0.2309 0.3249 0.4549
0.1677 0.2635 0.0631
0.1006 0.0438 0.7821
0.8994 0.9562 0.2179
0.8323 0.7365 0.9369
0.7691 0.6751 0.5451
```

Computed properties:
The space-group type is No. 14. As for the formation energy without anion corrections: -2.438 eV/atom. Its final energy is -7.163 eV/atom. The density of states at the Fermi level comes out at 0.455 states/eV/atom.



# 4
Here is a relaxed Sr11Re4O24 crystal from Alexandria. Energies are from PBE.

Structure (POSCAR):
```
Sr11Re4O24
1.0
-3.2240 10.8994 -2.8024
-1.7987 -3.4979 -11.0260
-5.3809 -5.5531 8.7894
Sr Re O
22 8 48
Direct
0.5000 0.5000 0.0000
0.2500 0.7500 0.5000
0.0114 0.5114 0.5000
0.2614 0.2614 0.0000
0.7386 0.7386 0.0000
0.4886 0.9886 0.5000
0.0268 0.9670 0.4680
0.3088 0.2768 0.5598
0.6823 0.3723 0.7342
0.6981 0.9323 0.8100
0.1223 0.8881 0.1900
0.6381 0.9481 0.2658
0.0677 0.8777 0.7658
0.0519 0.3177 0.6900
0.6277 0.3619 0.3100
0.1119 0.3019 0.2342
0.2510 0.6912 0.9680
0.0330 0.5010 0.0598
0.4412 0.9732 0.9402
0.7232 0.2830 0.0320
0.4990 0.5588 0.5320
0.7170 0.7490 0.4402
0.8750 0.6250 0.2500
0.3750 0.1250 0.7500
0.3750 0.6250 0.2500
0.3750 0.6250 0.7500
0.3750 0.1250 0.2500
0.8750 0.6250 0.7500
0.8750 0.1250 0.2500
0.8750 0.1250 0.7500
0.9038 0.6074 0.9145
0.7393 0.1538 0.7964
0.3574 0.9429 0.2036
0.6929 0.9893 0.0855
0.8462 0.6426 0.5855
0.0107 0.0962 0.7036
0.3926 0.3071 0.2964
0.0571 0.2607 0.4145
0.7225 0.0064 0.5269
0.9456 0.9725 0.2161
0.7564 0.7296 0.7839
0.4796 0.1956 0.4731
0.0275 0.2436 0.9731
0.8044 0.2775 0.2839
0.9936 0.5204 0.7161
0.2704 0.0544 0.0269
0.8703 0.1186 0.4072
0.2131 0.1203 0.2517
0.8686 0.9614 0.7483
0.7114 0.4631 0.5928
0.8797 0.1314 0.0928
0.5369 0.1297 0.2483
0.8814 0.2886 0.7517
0.0386 0.7869 0.9072
0.5035 0.2713 0.7926
0.4610 0.7535 0.7322
0.0213 0.7287 0.2678
0.4787 0.7110 0.2074
0.2465 0.9787 0.7074
0.2890 0.4965 0.7678
0.4757 0.2169 0.9854
0.2403 0.7257 0.7587
0.9669 0.4816 0.2413
0.2316 0.4903 0.0146
0.2743 0.0331 0.5146
0.5097 0.5243 0.7413
0.7831 0.7684 0.2587
0.5184 0.7597 0.4854
0.4942 0.0156 0.7466
0.4976 0.7442 0.9786
0.7656 0.5191 0.0214
0.2691 0.7476 0.2534
0.2558 0.2344 0.7534
0.2524 0.5058 0.5214
0.9844 0.7309 0.4786
0.4809 0.5024 0.2466
0.2713 0.5390 0.2926
0.7287 0.5213 0.2322
```

Computed properties:
The space-group type is No. 88. As for the formation energy without anion corrections: -2.449 eV/atom. Its final energy is -7.252 eV/atom. The density of states at the Fermi level comes out at 0.265 states/eV/atom.